# HfSiNi5, relaxed, DFT PBE-GGA
data_HfSiNi5
_chemical_formula_sum 'Hf1 Si1 Ni5'
_symmetry_space_group_name_H-M 'P 4/m m m'
_symmetry_Int_Tables_number 123
_symmetry_space_group_name_Hall '-P 4 2'
_cell_length_a 3.733
_cell_length_b 3.733
_cell_length_c 6.412
_cell_angle_alpha 90.00
_cell_angle_beta 90.00
_cell_angle_gamma 90.00
loop_
_atom_site_label
_atom_site_type_symbol
_atom_site_fract_x
_atom_site_fract_y
_atom_site_fract_z
Hf1 Hf 0.000 0.000 0.000
Si1 Si 0.500 0.500 0.500
Ni1 Ni 0.000 0.500 0.291
Ni2 Ni 0.500 0.500 0.000
# Energy relative to the elements, uncorrected = -0.476 eV per atom
# Calculated volume = 12.766 A^3/atom
# Uncorrected energy = -0.5000 Ry per atom